The following is a PBE calculation of an optimized crystal structure of SmTmSe, from Alexandria via LeMat-Bulk.

The structure in POSCAR format:
```
SmTmSe
1.0
3.8600 0.0000 0.0000
-1.9300 3.3429 0.0000
0.0000 0.0000 6.5953
Sm Se Tm
1 1 1
Cartesian
0.0000 0.0000 0.3286
1.9300 1.1143 2.2482
0.0000 2.2286 4.0185
```

Values from the calculation:
* crystal system: trigonal
* E_form (uncorrected): -1088 meV/atom

The following is a PBE calculation of an optimized crystal structure of Sm2TmSe4, from Alexandria via LeMat-Bulk.

The structure in POSCAR format:
```
Sm2TmSe4
1.0
3.9730 0.0000 0.0000
-1.9865 6.8751 0.0000
0.0000 0.0000 13.9767
Se Sm Tm
8 4 2
Cartesian
1.9865 0.0000 0.0000
0.0000 0.2799 3.4942
1.9865 6.5951 10.4825
0.0000 3.0148 8.7435
1.9865 3.8602 5.2331
1.9865 3.8602 1.7552
0.0000 3.0148 12.2215
1.9865 0.0000 6.9883
0.0000 1.7869 5.9914
1.9865 5.0882 12.9797
0.0000 1.7869 0.9969
1.9865 5.0882 7.9853
0.0000 5.1133 3.4942
1.9865 1.7618 10.4825
```

Values from the calculation:
* crystal system: orthorhombic
* offset from the most stable computed form: 0.051 eV per atom
* E_form (uncorrected): -1805 meV/atom

The following is a PBE calculation of an optimized crystal structure of Sm5Tm3Se8, from Alexandria via LeMat-Bulk.

The structure in POSCAR format:
```
Sm5Tm3Se8
1.0
-3.5689 7.1778 1.6002
1.9844 4.1323 6.7679
4.4185 6.9914 -0.6279
Sm Se Tm
5 8 3
Cartesian
0.9922 2.0661 3.3839
-1.7844 3.5889 0.8001
1.4170 9.1507 3.8701
-0.7922 5.6550 4.1841
0.0000 0.0000 0.0000
-1.0487 8.1954 2.6564
2.0471 13.6751 5.8593
1.7862 6.6406 5.2944
1.0478 11.6608 2.4458
2.8697 7.9965 1.6288
-0.0357 10.3049 6.1114
3.8827 10.1061 5.0839
0.7869 4.6264 1.8809
2.2092 3.4957 -0.3139
3.2014 5.5618 3.0700
0.4248 7.0846 0.4862
```

Values from the calculation:
* crystal system: trigonal
* E_form (uncorrected): -1756 meV/atom

The following is a PBE calculation of an optimized crystal structure of SmTm2Se, from Alexandria via LeMat-Bulk.

The structure in POSCAR format:
```
SmTm2Se
1.0
-1.4731 -3.3127 -0.9290
2.0790 -3.1035 0.2311
-2.6437 -3.3795 8.7046
Se Tm Sm
1 2 1
Cartesian
-2.2396 -7.6569 8.2388
-0.3539 -2.3811 1.5133
-2.0846 -3.1357 6.9487
-1.0223 -4.8993 4.0140
```

Values from the calculation:
* crystal system: trigonal
* offset from the most stable computed form: 0.000 eV per atom
* E_form (uncorrected): -784 meV/atom

The following is a PBE calculation of an optimized crystal structure of SmYTm2Se4, from Alexandria via LeMat-Bulk.

The structure in POSCAR format:
```
SmYTm2Se4
1.0
4.0115 0.0000 0.0000
0.0000 7.1879 -0.2232
0.0000 2.4492 6.5580
Se Tm Y Sm
4 2 1 1
Cartesian
0.0001 7.2996 4.6991
4.0115 2.3375 1.6357
2.0058 6.0749 1.4683
2.0058 3.5622 4.8665
0.0000 2.4493 6.5580
2.0057 1.2246 3.2790
0.0000 4.8185 3.1674
2.0057 3.5939 -0.1116
```

Values from the calculation:
* crystal system: monoclinic
* E_form (uncorrected): -1726 meV/atom

The following is a PBE calculation of an optimized crystal structure of Sm3Y2TmSe6, from Alexandria via LeMat-Bulk.

The structure in POSCAR format:
```
Sm3Y2TmSe6
1.0
-2.7455 -1.2571 2.7618
4.8466 -6.4734 1.8714
4.0766 7.1018 4.2534
Y Tm Sm Se
2 1 3 6
Cartesian
3.6488 -0.6306 6.3718
2.5290 0.0019 2.5149
-1.3727 -0.6286 1.3809
4.9507 -3.2142 3.4584
1.0506 -3.8652 2.3166
1.2271 2.5855 5.4283
-0.0752 0.9121 3.3720
5.0068 0.9106 8.4233
6.2530 -1.5407 5.5147
2.3401 -2.1990 4.3569
1.1709 -1.5393 0.4634
3.8377 1.5704 4.5298
```

Values from the calculation:
* crystal system: monoclinic
* E_form (uncorrected): -1777 meV/atom

The following is a PBE calculation of an optimized crystal structure of SmY2TmSe4, from Alexandria via LeMat-Bulk.

The structure in POSCAR format:
```
SmY2TmSe4
1.0
4.0392 0.0000 0.0000
0.0000 7.0605 -0.1596
0.0000 2.4691 6.7396
Tm Se Y Sm
1 4 2 1
Cartesian
0.0000 4.7648 3.2900
0.0001 7.1472 4.8808
4.0392 2.3824 1.6992
2.0197 5.9142 1.6180
2.0196 3.6153 4.9620
0.0000 2.4691 6.7396
2.0196 1.2345 3.3698
2.0196 3.5303 -0.0798
```

Values from the calculation:
* crystal system: monoclinic
* E_form (uncorrected): -1747 meV/atom

The following is a PBE calculation of an optimized crystal structure of SmYTm2Se6, from Alexandria via LeMat-Bulk.

The structure in POSCAR format:
```
SmYTm2Se6
1.0
7.2016 0.0002 0.0002
3.6010 6.2368 0.0000
3.6006 2.0792 6.4615
Se Tm Y Sm
6 2 1 1
Cartesian
8.1911 6.0957 4.8346
5.8097 6.1799 1.5977
6.1462 1.9417 1.5977
8.3847 2.3320 4.8348
5.0288 4.0466 4.8346
9.6492 4.3525 1.5979
7.2019 4.1580 2.9680
3.6006 2.0794 6.2344
3.6007 2.0788 0.3095
10.8022 6.2370 3.5975
```

Values from the calculation:
* crystal system: trigonal
* E_form (uncorrected): -1845 meV/atom

The following is a PBE calculation of an optimized crystal structure of Sm2YTmSe4, from Alexandria via LeMat-Bulk.

The structure in POSCAR format:
```
Sm2YTmSe4
1.0
-0.0318 0.6741 3.9948
0.9033 -6.9129 1.1738
6.5154 3.1524 -0.4801
Sm Se Y Tm
2 4 1 1
Cartesian
3.7093 -1.8803 0.3468
3.2418 1.9132 1.7573
5.6193 -2.4520 2.5129
2.2139 -4.3844 0.7575
1.7675 -0.6344 2.1755
5.2047 0.6239 -0.0639
0.0000 0.0000 0.0000
0.4357 -3.1194 2.5843
```

Values from the calculation:
* crystal system: monoclinic
* E_form (uncorrected): -1767 meV/atom

The following is a PBE calculation of an optimized crystal structure of SmY2TmSe6, from Alexandria via LeMat-Bulk.

The structure in POSCAR format:
```
SmY2TmSe6
1.0
-6.7157 -0.0938 2.6711
-5.6672 -0.2800 -4.4776
-3.9598 -6.6127 -0.4088
Se Sm Tm Y
6 1 1 2
Cartesian
-6.0965 -5.1037 -1.8150
-7.7092 -1.9260 -3.6289
-9.7987 -5.2179 -2.4402
-6.3240 -1.7665 0.5148
-8.4915 -5.0793 1.0791
-10.6074 -1.9033 -0.3546
-12.2900 -3.9589 -1.6997
-4.1204 -0.3977 -0.5939
-8.1793 -3.1934 -1.1165
-3.9665 -6.3599 -0.4165
```

Values from the calculation:
* crystal system: trigonal
* E_form (uncorrected): -1851 meV/atom

The following is a PBE calculation of an optimized crystal structure of Sm2YTmSe5, from Alexandria via LeMat-Bulk.

The structure in POSCAR format:
```
Sm2YTmSe5
1.0
5.0877 0.0000 0.0000
0.0000 5.0877 0.0000
0.0000 0.0000 10.6868
Se Sm Y Tm
5 2 1 1
Cartesian
2.5438 0.0000 5.3434
0.0000 0.0000 2.6405
0.0000 0.0000 8.0464
2.5438 2.5438 0.0000
0.0000 2.5438 5.3434
2.5438 2.5438 7.1971
2.5438 2.5438 3.4897
0.0000 0.0000 0.0000
0.0000 0.0000 5.3434
```

Values from the calculation:
* crystal system: tetragonal
* E_form (uncorrected): -1249 meV/atom

The following is a PBE calculation of an optimized crystal structure of Sm4YTm3Se8, from Alexandria via LeMat-Bulk.

The structure in POSCAR format:
```
Sm4YTm3Se8
1.0
8.1241 0.0000 0.0000
0.0000 8.2992 0.1179
-4.0621 -4.0577 5.7474
Tm Se Sm Y
3 8 4 1
Cartesian
-2.0310 2.1207 2.9327
2.0310 2.1207 2.9327
4.0621 4.1496 0.0590
2.0512 2.1443 0.0928
2.0108 2.0972 5.7725
4.0621 4.1067 2.8995
0.0000 4.1059 2.9274
-2.0108 2.0972 5.7725
0.0000 0.1348 2.9659
6.0729 2.1443 0.0928
4.0620 0.1356 2.9380
4.0621 0.0000 0.0000
-2.0310 -2.0288 2.8737
0.0000 0.0000 0.0000
2.0310 -2.0288 2.8737
0.0000 4.1496 0.0590
```

Values from the calculation:
* crystal system: trigonal
* E_form (uncorrected): -1753 meV/atom

The following is a PBE calculation of an optimized crystal structure of Sm3USe6, from Alexandria via LeMat-Bulk.

The structure in POSCAR format:
```
Sm3USe6
1.0
7.2238 0.0000 0.0000
0.0000 9.0424 0.0431
0.0000 -1.9758 8.8240
Se Sm U
12 6 2
Cartesian
1.4691 2.1409 7.9853
5.4379 8.9615 0.1076
4.8829 2.0025 3.2650
1.2710 5.0641 5.6022
1.4691 -0.2396 4.9983
1.2710 2.7358 2.6806
0.9223 6.5012 2.0683
1.8260 -1.8949 8.7596
5.0810 4.9257 0.8818
5.0810 7.3062 3.8688
4.5341 0.5654 6.7989
4.8829 4.3309 6.1866
7.1159 4.5855 8.1054
2.7355 2.4832 5.2705
3.5040 2.4811 0.7618
3.5040 6.8777 6.2786
6.3474 4.5835 3.5967
7.1159 0.1889 2.5885
3.5935 7.2106 1.5030
7.2054 -0.1439 7.3641
```

Values from the calculation:
* crystal system: orthorhombic
* offset from the most stable computed form: 0.078 eV per atom
* E_form (uncorrected): -1593 meV/atom

The following is a PBE calculation of an optimized crystal structure of Sm3USe6, from Alexandria via LeMat-Bulk.

The structure in POSCAR format:
```
Sm3USe6
1.0
4.1536 0.0000 0.0000
0.0000 11.1254 -3.7898
0.0000 0.0454 12.0319
Sm Se U
6 12 2
Cartesian
3.1152 1.7689 0.3678
1.0384 3.5795 4.7772
3.1152 4.7832 8.4049
3.1152 7.5914 3.4648
1.0384 9.4020 7.8742
1.0384 6.3877 -0.1628
1.0384 2.7949 7.7279
3.1152 10.2060 -2.2385
1.0384 5.7808 2.6432
1.0384 9.9270 3.0903
3.1152 1.2438 5.1518
3.1152 5.3900 5.5989
3.1152 4.4343 -0.7114
1.0384 2.1163 2.3056
1.0384 0.9649 10.4806
3.1152 9.0545 5.9365
3.1152 8.3760 0.5142
1.0384 6.7366 8.9535
3.1152 0.5247 8.1569
1.0384 10.6462 0.0852
```

Values from the calculation:
* crystal system: monoclinic
* offset from the most stable computed form: 0.000 eV per atom
* E_form (uncorrected): -1671 meV/atom

The following is a PBE calculation of an optimized crystal structure of SmU6Se8, from Alexandria via LeMat-Bulk.

The structure in POSCAR format:
```
SmU6Se8
1.0
7.0251 0.0000 4.0560
2.3417 6.6234 4.0560
0.0000 0.0000 8.1119
U Se Sm
6 8 1
Cartesian
3.5126 0.0000 6.0839
3.5126 0.0000 2.0280
4.6834 3.3117 4.0560
1.1709 3.3117 6.0839
0.0000 0.0000 4.0560
1.1709 3.3117 2.0280
3.5564 4.9055 10.0640
3.5564 4.9055 6.1599
5.8104 1.7178 6.1599
6.9375 4.9055 8.1119
7.0251 4.9675 12.1679
5.8104 1.7178 10.0640
2.4294 1.7178 8.1119
2.3417 1.6558 4.0560
0.0000 0.0000 0.0000
```

Values from the calculation:
* crystal system: cubic
* E_form (uncorrected): -1152 meV/atom

The following is a PBE calculation of an optimized crystal structure of Sm2USe6, from Alexandria via LeMat-Bulk.

The structure in POSCAR format:
```
Sm2USe6
1.0
-6.4417 0.9831 1.6627
0.8810 -3.6564 5.5750
3.2470 10.4986 6.3724
Se Sm U
12 4 2
Cartesian
-0.5964 2.7907 4.4257
2.2189 6.0971 10.2055
-1.6007 -0.7696 2.0835
-3.9599 -1.9038 5.1543
0.4146 6.0594 6.4098
-4.5326 1.7281 3.4047
-2.7282 1.7658 7.2004
-3.2648 5.2481 5.6789
-1.7172 5.0346 9.1845
-0.0171 -1.1327 5.8171
-2.2965 8.9579 7.7930
0.9511 2.5771 7.9313
-0.0696 7.4279 8.9388
2.1598 6.9833 4.2387
1.0872 3.5153 2.1337
-2.2440 0.3973 4.6714
0.0000 0.0000 0.0000
-1.1568 3.9126 6.8051
```

Values from the calculation:
* crystal system: tetragonal
* E_form (uncorrected): -1341 meV/atom

The following is a PBE calculation of an optimized crystal structure of SmU3Se6, from Alexandria via LeMat-Bulk.

The structure in POSCAR format:
```
SmU3Se6
1.0
4.0581 0.0000 0.0000
0.0000 11.5803 0.0403
0.0000 -3.8302 11.3948
U Se Sm
6 12 2
Cartesian
3.0436 1.8024 9.5181
3.0436 5.9912 5.6677
1.0145 1.7590 5.7674
3.0436 1.4440 0.9035
1.0145 6.3062 10.5316
1.0145 5.9477 1.9170
1.0145 3.4405 10.7341
3.0436 6.4572 8.5645
3.0436 10.1915 1.1847
3.0436 3.3208 7.1143
3.0436 7.5679 3.1724
1.0145 0.1822 8.2627
1.0145 -2.4414 10.2504
3.0436 4.3096 0.7010
3.0436 -0.4148 5.3160
1.0145 4.4294 4.3208
1.0145 1.2929 2.8706
1.0145 8.1650 6.1191
1.0145 9.8804 3.5214
3.0436 -2.1303 7.9137
```

Values from the calculation:
* crystal system: monoclinic
* E_form (uncorrected): -1269 meV/atom

The following is a PBE calculation of an optimized crystal structure of SmUSe3, from Alexandria via LeMat-Bulk.

The structure in POSCAR format:
```
SmUSe3
1.0
4.1681 0.0000 0.0000
-2.0840 3.6097 0.0000
0.0000 0.0000 20.4494
Sm Se U
2 6 2
Cartesian
0.0000 2.4064 16.0255
2.0840 1.2032 5.8007
0.0000 2.4064 7.7296
0.0000 0.0000 14.5722
2.0840 1.2032 10.9753
2.0840 1.2032 17.9543
0.0000 2.4064 0.7506
0.0000 0.0000 4.3474
0.0000 0.0000 9.4896
0.0000 0.0000 19.7144
```

Values from the calculation:
* crystal system: hexagonal
* offset from the most stable computed form: 0.089 eV per atom
* E_form (uncorrected): -1417 meV/atom

The following is a PBE calculation of an optimized crystal structure of Sm3U2Se6, from Alexandria via LeMat-Bulk.

The structure in POSCAR format:
```
Sm3U2Se6
1.0
4.1205 0.0000 0.0000
2.0602 3.5684 0.0000
2.0602 1.1895 20.4624
Se Sm U
6 3 2
Cartesian
6.1807 3.5685 5.2045
4.1205 2.3790 1.7322
6.1807 3.5684 12.0382
2.0602 1.1895 15.2580
4.1205 2.3790 18.7303
2.0602 1.1895 8.4242
0.0000 0.0000 0.0000
2.0602 1.1895 3.4885
6.1807 3.5685 16.9739
4.1205 2.3790 6.8925
4.1205 2.3790 13.5699
```

Values from the calculation:
* crystal system: trigonal
* E_form (uncorrected): -1486 meV/atom

The following is a PBE calculation of an optimized crystal structure of Sm6USe8, from Alexandria via LeMat-Bulk.

The structure in POSCAR format:
```
Sm6USe8
1.0
-5.8011 2.7148 5.3010
0.5232 -1.9156 8.0734
1.8777 5.8919 5.5573
Se Sm U
8 6 1
Cartesian
-2.8085 5.9684 10.1600
-3.7446 3.0311 7.3895
-3.4838 2.0761 11.4144
0.3444 3.6600 11.5422
-2.5502 5.0183 14.1988
-0.8501 1.6728 4.7329
0.0836 4.6150 7.5173
-0.5917 0.7226 8.7717
0.9388 2.9460 2.7786
0.2616 -0.9578 4.0367
1.2004 1.9881 6.8153
-1.9617 4.3033 5.4291
-2.9005 1.3574 2.6505
-2.6389 0.3996 6.6872
0.0000 0.0000 0.0000
```

Values from the calculation:
* crystal system: cubic
* E_form (uncorrected): -1723 meV/atom